The following is a DFT calculation (PBE) of CoTeSeN2 after structural relaxation.

a b c (Å): 3.838 3.838 4.969
angles (deg): 90.00 90.00 90.00
Fractional coordinates of all 5 atoms:
Te  0.500  0.500  0.500
Co  0.000  0.000  0.000
N  0.500  0.000  0.000
N  0.000  0.500  0.000
Se  0.000  0.000  0.500

Properties
ΔE_f (raw) = 5.9 eV per formula unit
space group = P4/mmm, No. 123

***

The following is a DFT calculation (PBE) of Hf12Zr6Al after structural relaxation.

a b c (Å): 7.546 7.546 7.546
angles (deg): 89.61 89.61 89.61
Fractional coordinates of all 19 atoms:
Hf  0.834  0.623  0.957
Hf  0.525  0.439  0.790
Hf  0.790  0.525  0.439
Hf  0.166  0.377  0.043
Hf  0.623  0.957  0.834
Hf  0.957  0.834  0.623
Hf  0.043  0.166  0.377
Hf  0.475  0.561  0.210
Hf  0.439  0.790  0.525
Hf  0.210  0.475  0.561
Hf  0.377  0.043  0.166
Hf  0.561  0.210  0.475
Zr  0.733  0.903  0.279
Zr  0.279  0.733  0.903
Zr  0.097  0.721  0.267
Zr  0.267  0.097  0.721
Zr  0.903  0.279  0.733
Zr  0.721  0.267  0.097
Al  0.000  0.000  0.000

Properties
space group = R-3, No. 148
calculated formation energy = 0.05 eV per atom

***

The following is a DFT calculation (PBE) of ErPa2BeO8 after structural relaxation.

a b c (Å): 4.952 4.952 6.349
angles (deg): 90.00 90.00 120.00
Fractional coordinates of all 12 atoms:
O  0.667  0.333  0.448
O  0.163  0.837  0.172
O  0.333  0.667  0.552
O  0.837  0.163  0.828
O  0.837  0.674  0.828
O  0.163  0.326  0.172
O  0.326  0.163  0.828
O  0.674  0.837  0.172
Pa  0.333  0.667  0.855
Pa  0.667  0.333  0.145
Er  0.000  0.000  0.500
Be  0.000  0.000  0.000

Properties
ΔE_f (raw) = -33.3 eV per formula unit
space group = P-3m1, No. 164

***

The following is a DFT calculation (PBE) of Nd7Y3Ho2 after structural relaxation.

a b c (Å): 3.651 5.829 19.404
angles (deg): 98.64 90.00 90.00
Fractional coordinates of all 12 atoms:
Y  0.500  0.500  0.000
Y  0.500  0.316  0.632
Y  0.500  0.684  0.368
Ho  0.000  0.149  0.298
Ho  0.000  0.851  0.702
Nd  0.000  0.232  0.464
Nd  0.000  0.593  0.186
Nd  0.500  0.927  0.854
Nd  0.000  0.768  0.536
Nd  0.500  0.073  0.146
Nd  0.000  0.407  0.814
Nd  0.000  0.000  0.000

Properties
space group = Cmmm, No. 65
calculated formation energy = 0.10 eV per atom

***

no.,final energy (eV/atom),DOS at the Fermi energy (states/eV/f.u.)
1,-4.888,5.09
2,-9.131,24.06
3,-8.355,3.70
4,-5.056,19.73